[1]
Computed, not measured: an optimized crystal structure of LaZr2P at the PBE-GGA level of DFT.

Calculated values
* formation enthalpy at 0 K: -0.46 eV per atom

Lattice parameters (Å, degrees): 3.5008 3.5008 7.4130 90.00 90.00 90.00
Last column: nearest neighbours and their distance in Å.
Fractional positions:
La1 0.0000 0.0000 0.0000  8 Zr 3.41, 4 La 3.50, 2 P 3.71
Zr1 0.5000 0.5000 0.3162  1 Zr 2.72, 4 P 2.83
Zr2 0.5000 0.5000 0.6838  1 Zr 2.72, 4 P 2.83
P1 0.0000 0.0000 0.5000  8 Zr 2.83

[2]
Computed, not measured: an optimized crystal structure of YFeRh2 at the PBE-GGA level of DFT.

Calculated values
* formation enthalpy at 0 K: 0.04 eV per atom

Lattice parameters (Å, degrees): 8.1423 8.1423 8.1423 22.67 22.67 22.67
Last column: nearest neighbours and their distance in Å.
Fractional positions:
Y1 0.0000 0.0000 0.0000  6 Rh 2.86
Fe1 0.5000 0.5000 0.5000  6 Rh 2.57
Rh1 0.2418 0.2418 0.2418  3 Fe 2.57, 3 Y 2.86
Rh2 0.7582 0.7582 0.7582  3 Fe 2.57, 3 Y 2.86

[3]
Computed, not measured: an optimized crystal structure of PuIrPb at the PBE-GGA level of DFT.

Calculated values
* formation enthalpy at 0 K: -0.20 eV per atom

Lattice parameters (Å, degrees): 4.7764 4.7764 7.4776 108.57 108.57 60.05
Last column: nearest neighbours and their distance in Å.
Fractional positions:
Pu1 0.1362 0.1362 0.4081  3 Ir 2.85-2.86, 3 Pu 3.04
Pu2 0.8638 0.8638 0.5919  3 Ir 2.85-2.86, 3 Pu 3.04
Ir1 0.4330 0.4330 0.2995  1 Ir 2.79, 3 Pu 2.85-2.86, 4 Pb 2.91-3.03
Ir2 0.5670 0.5670 0.7005  1 Ir 2.79, 3 Pu 2.85-2.86, 4 Pb 2.91-3.03
Pb1 0.2936 0.2936 0.8814  4 Ir 2.91-3.03, 3 Pb 3.21-3.22
Pb2 0.7064 0.7064 0.1186  4 Ir 2.91-3.03, 3 Pb 3.21-3.22

[4]
Computed, not measured: an optimized crystal structure of Pm6Dy2YTm3 at the PBE-GGA level of DFT.

Calculated values
* formation enthalpy at 0 K: 0.01 eV per atom

Lattice parameters (Å, degrees): 6.2273 6.2273 11.7780 95.04 95.04 119.99
Last column: nearest neighbours and their distance in Å.
Fractional positions:
Pm1 0.0815 0.4156 0.2481  3 Tm 3.54-3.55, 2 Dy 3.58, 1 Y 3.59, 6 Pm 3.59-3.60
Pm2 0.2504 0.2504 0.7521  3 Tm 3.54-3.55, 2 Dy 3.58, 1 Y 3.58, 6 Pm 3.59-3.60
Pm3 0.4156 0.0815 0.2481  3 Tm 3.54-3.55, 2 Dy 3.58, 1 Y 3.59, 6 Pm 3.59-3.60
Pm4 0.5844 0.9185 0.7519  3 Tm 3.54-3.55, 2 Dy 3.58, 1 Y 3.59, 6 Pm 3.59-3.60
Pm5 0.7496 0.7496 0.2479  3 Tm 3.54-3.55, 2 Dy 3.58, 1 Y 3.58, 6 Pm 3.59-3.60
Pm6 0.9185 0.5844 0.7519  3 Tm 3.54-3.55, 2 Dy 3.58, 1 Y 3.59, 6 Pm 3.59-3.60
Dy1 0.1667 0.8333 0.5000  6 Pm 3.58, 3 Y 3.60, 3 Dy 3.60
Dy2 0.8333 0.1667 0.5000  6 Pm 3.58, 3 Y 3.60, 3 Dy 3.60
Y1 0.5000 0.5000 0.5000  6 Pm 3.58-3.59, 6 Dy 3.60
Tm1 0.0000 0.0000 0.0000  6 Pm 3.54-3.55, 6 Tm 3.60
Tm2 0.3333 0.6667 0.0000  6 Pm 3.54-3.55, 6 Tm 3.59-3.60
Tm3 0.6667 0.3333 0.0000  6 Pm 3.54-3.55, 6 Tm 3.59-3.60

[5]
Computed, not measured: an optimized crystal structure of Cr2NiHg at the PBE-GGA level of DFT.

Calculated values
* formation enthalpy at 0 K: 0.62 eV per atom

Lattice parameters (Å, degrees): 4.8324 4.8324 2.6461 90.00 90.00 116.75
Last column: nearest neighbours and their distance in Å.
Fractional positions:
Cr1 0.0000 0.5000 0.0000  4 Cr 2.53-2.65, 4 Hg 2.75, 4 Ni 2.75
Cr2 0.5000 0.0000 0.0000  4 Cr 2.53-2.65, 4 Hg 2.75, 4 Ni 2.75
Ni1 0.0000 0.0000 0.5000  2 Hg 2.53, 2 Ni 2.65, 8 Cr 2.75
Hg1 0.5000 0.5000 0.5000  2 Ni 2.53, 2 Hg 2.65, 8 Cr 2.75

[6]
Computed, not measured: an optimized crystal structure of CdHg2Se at the PBE-GGA level of DFT.

Calculated values
* E_form (uncorrected): 0.045 eV per atom

Lattice parameters (Å, degrees): 5.1904 5.1904 5.1904 120.45 120.45 89.22
Last column: nearest neighbours and their distance in Å.
Fractional positions:
Cd1 0.0000 0.0000 0.0000  4 Se 3.17, 4 Hg 3.17
Hg1 0.2500 0.7500 0.5000  4 Hg 3.17, 4 Cd 3.17
Hg2 0.5000 0.5000 0.0000  4 Se 3.17, 4 Hg 3.17
Se1 0.7500 0.2500 0.5000  4 Hg 3.17, 4 Cd 3.17

[7]
Computed, not measured: an optimized crystal structure of HgTe2Au at the PBE-GGA level of DFT.

Calculated values
* E_form (uncorrected): 0.297 eV per atom

Lattice parameters (Å, degrees): 5.7405 5.7405 3.1320 90.00 90.00 90.12
Last column: nearest neighbours and their distance in Å.
Fractional positions:
Hg1 0.0000 0.0000 0.0000  2 Hg 3.13, 8 Te 3.27
Te1 0.0000 0.5000 0.5000  2 Te 3.13, 4 Hg 3.27, 4 Au 3.27
Te2 0.5000 0.0000 0.5000  2 Te 3.13, 4 Hg 3.27, 4 Au 3.27
Au1 0.5000 0.5000 0.0000  2 Au 3.13, 8 Te 3.27

[8]
Computed, not measured: an optimized crystal structure of KNa2ReS4 at the PBE-GGA level of DFT.

Calculated values
* E_form (uncorrected): -0.703 eV per atom

Lattice parameters (Å, degrees): 7.6920 7.6920 7.6920 131.88 131.88 70.42
Last column: nearest neighbours and their distance in Å.
Fractional positions:
K1 0.0000 0.0000 0.0000  4 S 3.09
Na1 0.2500 0.7500 0.5000  4 S 2.90
Na2 0.5000 0.5000 0.0000  4 S 2.78
Re1 0.7500 0.2500 0.5000  4 S 2.23
S1 0.0802 0.5333 0.9129  1 Re 2.23
S2 0.4667 0.3795 0.5469  1 Re 2.23
S3 0.6205 0.1673 0.0871  1 Re 2.23
S4 0.8327 0.9198 0.4531  1 Re 2.23

For each record above, in turn, the calculated total magnetic moment values are 0.0 3.7 5.0 0.0 0.8 0.0 0.0 2.0 μB per formula unit.